[1]
Material: TbPr2Al6
Method: DFT, GGA-PBE
State: relaxed

Unit cell a=4.4746 b=8.1062 c=8.1062 alpha=53.43 beta=73.98 gamma=73.98
With the nearest neighbours (Å) after each atom.
Fractional positions:
Al1 0.0000 0.8063 0.1937  3 Al 2.64-2.82
Al2 0.0000 0.1937 0.8063  3 Al 2.64-2.82
Al3 0.1811 0.1301 0.5078  2 Al 2.64-2.75
Al4 0.8189 0.4922 0.8699  2 Al 2.64-2.75
Al5 0.8189 0.8699 0.4922  2 Al 2.64-2.75
Al6 0.1811 0.5078 0.1301  2 Al 2.64-2.75
Pr1 0.6254 0.8746 0.8746  10 Al 3.00-3.28
Pr2 0.3746 0.1254 0.1254  10 Al 3.00-3.28
Tb1 0.5000 0.5000 0.5000  4 Al 3.16

Values from the calculation:
For the total energy, the calculation gives -0.313 Ry/atom. Its space group is Immm (71). The calculated volume comes out at 225 Å³/cell. The calculation puts the formation energy at -0.1868 eV per atom. The calculation puts the spin magnetization at 0.00 μB per atom. Its energy above the lowest structure with this stoichiometry is 282 meV/atom.



[2]
Material: Tb3PrAl
Method: DFT, GGA-PBE
State: relaxed

Unit cell a=6.8888 b=10.1497 c=10.1497 alpha=62.20 beta=81.50 gamma=81.50
With the nearest neighbours (Å) after each atom.
Fractional positions:
Al1 0.8090 0.2773 0.5775  1 Al 2.51
Al2 0.6910 0.4225 0.7227  1 Al 2.51
Al3 0.1910 0.7227 0.4225  1 Al 2.51
Al4 0.3090 0.5775 0.2773  1 Al 2.51
Tb1 0.5837 0.0049 0.6704  1 Al 3.06, 1 Tb 3.42
Tb2 0.9163 0.3296 0.9951  1 Al 3.06, 1 Tb 3.42
Tb3 0.5996 0.3082 0.3167  2 Al 3.04-3.07
Tb4 0.0996 0.3167 0.3082  2 Al 3.04-3.07
Tb5 0.4004 0.6918 0.6833  2 Al 3.04-3.07
Tb6 0.0906 0.0013 0.6606  1 Al 3.00
Tb7 0.9004 0.6833 0.6918  2 Al 3.04-3.07
Tb8 0.5906 0.6606 0.0013  1 Al 3.00
Tb9 0.0837 0.6704 0.0049  1 Al 3.06, 1 Tb 3.42
Tb10 0.4163 0.9951 0.3296  1 Al 3.06, 1 Tb 3.42
Tb11 0.9094 0.9987 0.3394  1 Al 3.00
Tb12 0.4094 0.3394 0.9987  1 Al 3.00
Pr1 0.2500 0.3568 0.6432  4 Al 3.32-3.49
Pr2 0.7500 0.6432 0.3568  4 Al 3.32-3.49
Pr3 0.7500 0.0411 0.9589  2 Al 3.47, 4 Tb 3.48-3.69, 2 Pr 3.55
Pr4 0.2500 0.9589 0.0411  2 Al 3.47, 4 Tb 3.48-3.69, 2 Pr 3.55

Values from the calculation:
For the total energy, the calculation gives -0.332 Ry/atom. Its space group is C2/c (15). The calculated volume comes out at 618 Å³/cell. The calculation puts the formation energy at -0.0337 eV per atom. The calculation puts the spin magnetization at 0.00 μB per atom. Its energy above the lowest structure with this stoichiometry is 101 meV/atom.



[3]
Material: Tb5PrAl3
Method: DFT, GGA-PBE
State: relaxed

Unit cell a=6.7086 b=9.1749 c=9.1741 alpha=120.00 beta=90.00 gamma=90.00
With the nearest neighbours (Å) after each atom.
Fractional positions:
Tb1 0.0000 0.6667 0.3335  8 Tb 3.35-3.50, 6 Al 3.46
Tb2 0.2500 0.0001 0.6687  5 Al 3.02-3.36
Tb3 0.7500 0.6687 0.6687  5 Al 3.02-3.36
Tb4 0.7500 0.3313 0.0000  5 Al 3.01-3.36
Tb5 0.0000 0.3333 0.6665  8 Tb 3.35-3.50, 6 Al 3.46
Tb6 0.5000 0.3333 0.6665  8 Tb 3.35-3.50, 6 Al 3.46
Tb7 0.2500 0.6687 0.0000  5 Al 3.01-3.36
Tb8 0.7500 0.9999 0.3313  5 Al 3.02-3.36
Tb9 0.2500 0.3313 0.3313  5 Al 3.02-3.36
Tb10 0.5000 0.6667 0.3335  8 Tb 3.35-3.50, 6 Al 3.46
Pr1 0.0000 0.0000 0.0000  2 Pr 3.35, 6 Tb 3.47, 6 Al 3.54
Pr2 0.5000 0.0000 0.0000  2 Pr 3.35, 6 Tb 3.47, 6 Al 3.54
Al1 0.2500 0.3401 0.0000  5 Tb 3.01-3.36
Al2 0.2500 0.6600 0.6599  5 Tb 3.02-3.36
Al3 0.7500 0.0000 0.6599  5 Tb 3.02-3.36
Al4 0.7500 0.6599 0.0000  5 Tb 3.01-3.36
Al5 0.7500 0.3400 0.3401  5 Tb 3.02-3.36
Al6 0.2500 0.0000 0.3401  5 Tb 3.02-3.36

Values from the calculation:
For the total energy, the calculation gives -0.338 Ry/atom. Its space group is P6_3/mcm (193). The calculated volume comes out at 489 Å³/cell. The calculation puts the formation energy at -0.2454 eV per atom. The calculation puts the spin magnetization at 0.05 μB per atom.



[4]
Material: Tb2Pr3Al3
Method: DFT, GGA-PBE
State: relaxed

Unit cell a=3.3582 b=8.6465 c=8.6465 alpha=120.00 beta=90.00 gamma=90.00
With the nearest neighbours (Å) after each atom.
Fractional positions:
Pr1 0.0000 0.7540 0.7540  2 Tb 3.32, 4 Pr 3.36-3.68, 6 Al 3.39-3.58
Pr2 0.0000 0.2460 0.0000  2 Tb 3.32, 4 Pr 3.36-3.68, 6 Al 3.39-3.58
Pr3 0.0000 0.0000 0.2460  2 Tb 3.32, 4 Pr 3.36-3.68, 6 Al 3.39-3.58
Tb1 0.0000 0.6667 0.3333  6 Al 3.16, 3 Pr 3.32, 2 Tb 3.36
Tb2 0.0000 0.3333 0.6667  6 Al 3.16, 3 Pr 3.32, 2 Tb 3.36
Al1 0.5000 0.3883 0.3883  4 Tb 3.16, 2 Al 3.36, 4 Pr 3.39
Al2 0.5000 0.0000 0.6117  4 Tb 3.16, 2 Al 3.36, 4 Pr 3.39
Al3 0.5000 0.6117 0.0000  4 Tb 3.16, 2 Al 3.36, 4 Pr 3.39

Values from the calculation:
For the total energy, the calculation gives -0.336 Ry/atom. Its space group is P-62m (189). The calculated volume comes out at 217 Å³/cell. The calculation puts the formation energy at -0.2237 eV per atom. The calculation puts the spin magnetization at 0.00 μB per atom.



[5]
Material: TbPr6Al
Method: DFT, GGA-PBE
State: relaxed

Unit cell a=6.8883 b=9.1921 c=6.7286 alpha=65.12 beta=85.02 gamma=46.77
With the nearest neighbours (Å) after each atom.
Fractional positions:
Pr1 0.8144 0.7500 0.2495  1 Al 3.18, 3 Pr 3.37-3.55
Pr2 0.8490 0.9132 0.6570  1 Al 3.19, 4 Pr 3.50-3.55
Pr3 0.1856 0.2500 0.7505  1 Al 3.18, 3 Pr 3.37-3.55
Pr4 0.1510 0.0868 0.3430  1 Al 3.19, 4 Pr 3.50-3.55
Pr5 0.5799 0.6575 0.9131  1 Al 3.18, 4 Pr 3.50-3.55
Pr6 0.4201 0.3425 0.0869  1 Al 3.18, 4 Pr 3.50-3.55
Al1 0.0000 0.0000 0.0000  6 Pr 3.18-3.19, 2 Tb 3.41
Tb1 0.5000 0.5000 0.5000  2 Al 3.41, 6 Pr 3.70-3.73

Values from the calculation:
For the total energy, the calculation gives -0.344 Ry/atom. Its space group is C2/m (12). The calculated volume comes out at 268 Å³/cell. The calculation puts the formation energy at -0.0496 eV per atom. The calculation puts the spin magnetization at 0.00 μB per atom. Its energy above the lowest structure with this stoichiometry is 9 meV/atom.



[6]
Material: Tb12Pr6Al
Method: DFT, GGA-PBE
State: relaxed

Unit cell a=8.5404 b=8.5404 c=8.5404 alpha=89.19 beta=89.19 gamma=89.19
With the nearest neighbours (Å) after each atom.
Fractional positions:
Pr1 0.7404 0.9083 0.2994  7 Tb 3.36-3.69, 1 Al 3.45, 2 Pr 3.48
Pr2 0.0917 0.7006 0.2596  7 Tb 3.36-3.69, 1 Al 3.45, 2 Pr 3.48
Pr3 0.2994 0.7404 0.9083  7 Tb 3.36-3.69, 1 Al 3.45, 2 Pr 3.48
Pr4 0.9083 0.2994 0.7404  7 Tb 3.36-3.69, 1 Al 3.45, 2 Pr 3.48
Pr5 0.2596 0.0917 0.7006  7 Tb 3.36-3.69, 1 Al 3.45, 2 Pr 3.48
Pr6 0.7006 0.2596 0.0917  7 Tb 3.36-3.69, 1 Al 3.45, 2 Pr 3.48
Tb1 0.9836 0.8175 0.6433  4 Pr 3.39-3.69, 1 Al 3.45, 4 Tb 3.50-3.68
Tb2 0.4636 0.5626 0.2205  6 Tb 3.30-3.68, 3 Pr 3.36-3.45
Tb3 0.0164 0.1825 0.3567  4 Pr 3.39-3.69, 1 Al 3.45, 4 Tb 3.50-3.68
Tb4 0.5626 0.2205 0.4636  6 Tb 3.30-3.68, 3 Pr 3.36-3.45
Tb5 0.8175 0.6433 0.9836  4 Pr 3.39-3.69, 1 Al 3.45, 4 Tb 3.50-3.68
Tb6 0.3567 0.0164 0.1825  4 Pr 3.39-3.69, 1 Al 3.45, 4 Tb 3.50-3.68
Tb7 0.4374 0.7795 0.5364  6 Tb 3.30-3.68, 3 Pr 3.36-3.45
Tb8 0.1825 0.3567 0.0164  4 Pr 3.39-3.69, 1 Al 3.45, 4 Tb 3.50-3.68
Tb9 0.5364 0.4374 0.7795  6 Tb 3.30-3.68, 3 Pr 3.36-3.45
Tb10 0.7795 0.5364 0.4374  6 Tb 3.30-3.68, 3 Pr 3.36-3.45
Tb11 0.2205 0.4636 0.5626  6 Tb 3.30-3.68, 3 Pr 3.36-3.45
Tb12 0.6433 0.9836 0.8175  4 Pr 3.39-3.69, 1 Al 3.45, 4 Tb 3.50-3.68
Al1 0.0000 0.0000 0.0000  6 Tb 3.45, 6 Pr 3.45

Values from the calculation:
For the total energy, the calculation gives -0.334 Ry/atom. Its space group is R-3 (148). The calculated volume comes out at 623 Å³/cell. The calculation puts the formation energy at 0.0867 eV per atom. The calculation puts the spin magnetization at 0.00 μB per atom.



spin magnetization of number 4 (Tb2Pr3Al3)? 0.00 μB per atom



What did the sixth record say?
Material: Tb12Pr6Al
Method: DFT, GGA-PBE
State: relaxed

Unit cell a=8.5404 b=8.5404 c=8.5404 alpha=89.19 beta=89.19 gamma=89.19
With the nearest neighbours (Å) after each atom.
Fractional positions:
Pr1 0.7404 0.9083 0.2994  7 Tb 3.36-3.69, 1 Al 3.45, 2 Pr 3.48
Pr2 0.0917 0.7006 0.2596  7 Tb 3.36-3.69, 1 Al 3.45, 2 Pr 3.48
Pr3 0.2994 0.7404 0.9083  7 Tb 3.36-3.69, 1 Al 3.45, 2 Pr 3.48
Pr4 0.9083 0.2994 0.7404  7 Tb 3.36-3.69, 1 Al 3.45, 2 Pr 3.48
Pr5 0.2596 0.0917 0.7006  7 Tb 3.36-3.69, 1 Al 3.45, 2 Pr 3.48
Pr6 0.7006 0.2596 0.0917  7 Tb 3.36-3.69, 1 Al 3.45, 2 Pr 3.48
Tb1 0.9836 0.8175 0.6433  4 Pr 3.39-3.69, 1 Al 3.45, 4 Tb 3.50-3.68
Tb2 0.4636 0.5626 0.2205  6 Tb 3.30-3.68, 3 Pr 3.36-3.45
Tb3 0.0164 0.1825 0.3567  4 Pr 3.39-3.69, 1 Al 3.45, 4 Tb 3.50-3.68
Tb4 0.5626 0.2205 0.4636  6 Tb 3.30-3.68, 3 Pr 3.36-3.45
Tb5 0.8175 0.6433 0.9836  4 Pr 3.39-3.69, 1 Al 3.45, 4 Tb 3.50-3.68
Tb6 0.3567 0.0164 0.1825  4 Pr 3.39-3.69, 1 Al 3.45, 4 Tb 3.50-3.68
Tb7 0.4374 0.7795 0.5364  6 Tb 3.30-3.68, 3 Pr 3.36-3.45
Tb8 0.1825 0.3567 0.0164  4 Pr 3.39-3.69, 1 Al 3.45, 4 Tb 3.50-3.68
Tb9 0.5364 0.4374 0.7795  6 Tb 3.30-3.68, 3 Pr 3.36-3.45
Tb10 0.7795 0.5364 0.4374  6 Tb 3.30-3.68, 3 Pr 3.36-3.45
Tb11 0.2205 0.4636 0.5626  6 Tb 3.30-3.68, 3 Pr 3.36-3.45
Tb12 0.6433 0.9836 0.8175  4 Pr 3.39-3.69, 1 Al 3.45, 4 Tb 3.50-3.68
Al1 0.0000 0.0000 0.0000  6 Tb 3.45, 6 Pr 3.45

Values from the calculation:
For the total energy, the calculation gives -0.334 Ry/atom. Its space group is R-3 (148). The calculated volume comes out at 623 Å³/cell. The calculation puts the formation energy at 0.0867 eV per atom. The calculation puts the spin magnetization at 0.00 μB per atom.



calculated volume of number 2 (Tb3PrAl)? 618 Å³/cell